CaTe2Au: optimized geometry, PBE.

a = 7.5381 Å, b = 7.5381 Å, c = 7.5381 Å
α = 90.00°, β = 90.00°, γ = 90.00°
Space group F-43m (No. 216)
Inequivalent atoms, fractional coordinates:
Ca  0.0000  0.0000  0.0000
Te  0.0000  0.0000  0.5000
Te  0.2500  0.2500  0.2500
Au  0.2500  0.2500  0.7500

Results
Its density of states at the Fermi level is 7.95 states/eV/cell. The uncorrected energy is -3.26 eV/atom. The calculation puts the formation energy from raw total energies at -0.372 eV/atom.

=====

HfBeTl2: optimized geometry, PBE.

a = 7.0121 Å, b = 7.0121 Å, c = 7.0121 Å
α = 90.00°, β = 90.00°, γ = 90.00°
Space group Fm-3m (No. 225)
Inequivalent atoms, fractional coordinates:
Hf  0.0000  0.0000  0.0000
Be  0.0000  0.0000  0.5000
Tl  0.2500  0.2500  0.2500

Results
The formation energy is 0.698 eV/atom. Its density of states at the Fermi level is 12.43 states/eV/cell. The calculation puts the energy above the lowest structure with this stoichiometry at 0.2371 eV/atom. The uncorrected energy is -3.91 eV/atom.

=====

Al2Hg: optimized geometry, PBE.

a = 9.8038 Å, b = 3.0951 Å, c = 8.4709 Å
α = 90.00°, β = 115.57°, γ = 90.00°
Space group C2/m (No. 12)
Inequivalent atoms, fractional coordinates:
Al  0.0000  0.0000  0.0000
Al  0.0000  0.0000  0.5000
Al  0.1656  0.5000  0.3472
Hg  0.1659  0.5000  0.8191

Results
The formation energy is 0.162 eV/atom. Its density of states at the Fermi level is 3.44 states/eV/cell. The calculation puts the energy above the lowest structure with this stoichiometry at 0.0546 eV/atom. The uncorrected energy is -2.43 eV/atom.

=====

Ac2Hg2PtO2: optimized geometry, PBE.

a = 5.3937 Å, b = 5.3937 Å, c = 7.8261 Å
α = 90.00°, β = 90.00°, γ = 120.00°
Space group P-3m1 (No. 164)
Inequivalent atoms, fractional coordinates:
Ac  0.3333  0.6667  0.1859
Hg  0.0000  0.0000  0.1718
Pt  0.0000  0.0000  0.5000
O  0.3333  0.6667  0.9038

Results
Its density of states at the Fermi level is 1.64 states/eV/cell. The uncorrected energy is -4.55 eV/atom. The calculation puts the formation energy from raw total energies at -1.006 eV/atom.